Here is a relaxed TaBe3Au crystal from Alexandria. Energies are from PBEsol.

Unit cell a=4.1540 b=4.1540 c=4.1540 alpha=90.00 beta=90.00 gamma=90.00
Last column: nearest neighbours and their distance in Å.
Space group Pm-3m (No. 221)
Unique sites:
Ta (0.0000, 0.0000, 0.0000) [1 per cell]  12 Be 2.94
Be (0.0000, 0.5000, 0.5000) [3 per cell]  2 Au 2.08
Au (0.5000, 0.5000, 0.5000) [1 per cell]  6 Be 2.08

E_form	0.807	eV/atom